No. 1
The following is a DFT calculation (GGA-PBE) of KAgSb2 after structural relaxation.

Geometry as CIF:
```
data_KAgSb2
_chemical_formula_sum 'K4 Ag4 Sb8'
_cell_length_a 7.562
_cell_length_b 7.562
_cell_length_c 7.562
_cell_angle_alpha 90.00
_cell_angle_beta 90.00
_cell_angle_gamma 90.00
_space_group_name_H-M_alt 'F m -3 m'
_space_group_IT_number 225
_space_group_name_Hall '-F 4 2 3'
loop_
_atom_site_label
_atom_site_fract_x
_atom_site_fract_y
_atom_site_fract_z
K1 0.000 0.000 0.000
Ag1 0.000 0.000 0.500
Sb1 0.250 0.250 0.250
```

## Properties
Polymorph energy (0 for the lowest one), meV/atom: 274.9
E_form (uncorrected), kcal/mol of atoms: 3.08
Fermi-level density of states, states/eV/cell: 8.715
E_tot, Ry per atom: -0.2142

No. 2
The following is a DFT calculation (GGA-PBE) of KAg4Sb3 after structural relaxation.

Geometry as CIF:
```
data_KAg4Sb3
_chemical_formula_sum 'K1 Ag4 Sb3'
_cell_length_a 4.864
_cell_length_b 4.864
_cell_length_c 8.876
_cell_angle_alpha 90.00
_cell_angle_beta 90.00
_cell_angle_gamma 90.00
_space_group_name_H-M_alt 'P 4/m m m'
_space_group_IT_number 123
_space_group_name_Hall '-P 4 2'
loop_
_atom_site_label
_atom_site_fract_x
_atom_site_fract_y
_atom_site_fract_z
K1 0.000 0.000 0.000
Ag1 0.000 0.500 0.325
Sb1 0.000 0.000 0.500
Sb2 0.500 0.500 0.161
```

## Properties
E_form (uncorrected), kcal/mol of atoms: -1.92
Fermi-level density of states, states/eV/cell: 3.726
E_tot, Ry per atom: -0.2346

No. 3
The following is a DFT calculation (GGA-PBE) of KAgSb2 after structural relaxation.

Geometry as CIF:
```
data_KAgSb2
_chemical_formula_sum 'K2 Ag2 Sb4'
_cell_length_a 10.855
_cell_length_b 3.261
_cell_length_c 6.704
_cell_angle_alpha 90.00
_cell_angle_beta 94.71
_cell_angle_gamma 90.00
_space_group_name_H-M_alt 'C 1 m 1'
_space_group_IT_number 8
loop_
_space_group_symop_operation_xyz
'x,y,z'
'x,-y,z'
'x+1/2,y+1/2,z'
'x+1/2,-y+1/2,z'
loop_
_atom_site_label
_atom_site_fract_x
_atom_site_fract_y
_atom_site_fract_z
K1 0.000 0.000 0.000
Ag1 0.246 0.000 0.669
Sb1 0.012 0.500 0.515
Sb2 0.251 0.500 0.302
```

## Properties
Polymorph energy (0 for the lowest one), meV/atom: 165.6
E_form (uncorrected), kcal/mol of atoms: 0.56
Fermi-level density of states, states/eV/cell: 2.600
E_tot, Ry per atom: -0.2223

No. 4
The following is a DFT calculation (GGA-PBE) of KAgSb2 after structural relaxation.

Geometry as CIF:
```
data_KAgSb2
_chemical_formula_sum 'K2 Ag2 Sb4'
_cell_length_a 4.644
_cell_length_b 4.928
_cell_length_c 9.664
_cell_angle_alpha 90.00
_cell_angle_beta 90.00
_cell_angle_gamma 90.00
_space_group_name_H-M_alt 'C m m m'
_space_group_IT_number 65
_space_group_name_Hall '-C 2 2'
loop_
_atom_site_label
_atom_site_fract_x
_atom_site_fract_y
_atom_site_fract_z
K1 0.000 0.000 0.000
Ag1 0.000 0.000 0.500
Sb1 0.000 0.500 0.291
```

## Properties
Polymorph energy (0 for the lowest one), meV/atom: 144.8
E_form (uncorrected), kcal/mol of atoms: 0.08
Fermi-level density of states, states/eV/cell: 5.613
E_tot, Ry per atom: -0.2238

No. 5
The following is a DFT calculation (GGA-PBE) of K2AgSb2 after structural relaxation.

Geometry as CIF:
```
data_K2AgSb2
_chemical_formula_sum 'K4 Ag2 Sb4'
_cell_length_a 4.854
_cell_length_b 4.854
_cell_length_c 15.033
_cell_angle_alpha 90.00
_cell_angle_beta 90.00
_cell_angle_gamma 90.00
_space_group_name_H-M_alt 'I 4/m m m'
_space_group_IT_number 139
_space_group_name_Hall '-I 4 2'
loop_
_atom_site_label
_atom_site_fract_x
_atom_site_fract_y
_atom_site_fract_z
K1 0.000 0.500 0.250
Ag1 0.000 0.000 0.000
Sb1 0.000 0.000 0.411
```

## Properties
Polymorph energy (0 for the lowest one), meV/atom: 573.0
E_form (uncorrected), kcal/mol of atoms: 5.93
Fermi-level density of states, states/eV/cell: 6.601
E_tot, Ry per atom: -0.1765

No. 6
The following is a DFT calculation (GGA-PBE) of KAg2Sb after structural relaxation.

Geometry as CIF:
```
data_KAg2Sb
_chemical_formula_sum 'K1 Ag2 Sb1'
_cell_length_a 3.205
_cell_length_b 5.160
_cell_length_c 6.176
_cell_angle_alpha 90.00
_cell_angle_beta 90.00
_cell_angle_gamma 90.00
_space_group_name_H-M_alt 'P m m m'
_space_group_IT_number 47
loop_
_space_group_symop_operation_xyz
'x,y,z'
'-x,-y,-z'
'-x,-y,z'
'x,y,-z'
'x,-y,-z'
'-x,y,z'
'-x,y,-z'
'x,-y,z'
loop_
_atom_site_label
_atom_site_fract_x
_atom_site_fract_y
_atom_site_fract_z
K1 0.000 0.000 0.000
Ag1 0.500 0.500 0.258
Sb1 0.500 0.000 0.500
```

## Properties
E_form (uncorrected), kcal/mol of atoms: 0.91
Fermi-level density of states, states/eV/cell: 0.781
E_tot, Ry per atom: -0.1978

No. 7
The following is a DFT calculation (GGA-PBE) of KAg2Sb after structural relaxation.

Geometry as CIF:
```
data_KAg2Sb
_chemical_formula_sum 'K4 Ag8 Sb4'
_cell_length_a 7.322
_cell_length_b 7.322
_cell_length_c 7.322
_cell_angle_alpha 90.00
_cell_angle_beta 90.00
_cell_angle_gamma 90.00
_space_group_name_H-M_alt 'F -4 3 m'
_space_group_IT_number 216
_space_group_name_Hall 'F -4 2 3'
loop_
_atom_site_label
_atom_site_fract_x
_atom_site_fract_y
_atom_site_fract_z
K1 0.000 0.000 0.000
Ag1 0.000 0.000 0.500
Ag2 0.250 0.250 0.750
Sb1 0.250 0.250 0.250
```

## Properties
E_form (uncorrected), kcal/mol of atoms: 3.05
Fermi-level density of states, states/eV/cell: 8.422
E_tot, Ry per atom: -0.1910

No. 8
The following is a DFT calculation (GGA-PBE) of K2Ag3Sb2 after structural relaxation.

Geometry as CIF:
```
data_K2Ag3Sb2
_chemical_formula_sum 'K4 Ag6 Sb4'
_cell_length_a 12.778
_cell_length_b 4.787
_cell_length_c 7.969
_cell_angle_alpha 90.00
_cell_angle_beta 117.44
_cell_angle_gamma 90.00
_space_group_name_H-M_alt 'C 1 2/m 1'
_space_group_IT_number 12
loop_
_space_group_symop_operation_xyz
'x,y,z'
'-x,-y,-z'
'-x,y,-z'
'x,-y,z'
'x+1/2,y+1/2,z'
'-x+1/2,-y+1/2,-z'
'-x+1/2,y+1/2,-z'
'x+1/2,-y+1/2,z'
loop_
_atom_site_label
_atom_site_fract_x
_atom_site_fract_y
_atom_site_fract_z
K1 0.136 0.000 0.260
Ag1 0.000 0.500 0.500
Ag2 0.165 0.500 0.919
Sb1 0.135 0.000 0.715
```

## Properties
E_form (uncorrected), kcal/mol of atoms: -4.04
Fermi-level density of states, states/eV/cell: 3.291
E_tot, Ry per atom: -0.2123

No. 9
The following is a DFT calculation (GGA-PBE) of KAgSb2 after structural relaxation.

Geometry as CIF:
```
data_KAgSb2
_chemical_formula_sum 'K4 Ag4 Sb8'
_cell_length_a 4.984
_cell_length_b 11.666
_cell_length_c 7.887
_cell_angle_alpha 90.00
_cell_angle_beta 90.00
_cell_angle_gamma 90.00
_space_group_name_H-M_alt 'C m c m'
_space_group_IT_number 63
_space_group_name_Hall '-C 2c 2'
loop_
_atom_site_label
_atom_site_fract_x
_atom_site_fract_y
_atom_site_fract_z
K1 0.000 0.083 0.250
Ag1 0.000 0.204 0.750
Sb1 0.000 0.379 0.050
```

## Properties
Polymorph energy (0 for the lowest one), meV/atom: 33.3
E_form (uncorrected), kcal/mol of atoms: -2.49
Fermi-level density of states, states/eV/cell: 5.525
E_tot, Ry per atom: -0.2320

No. 10
The following is a DFT calculation (GGA-PBE) of KAg5Sb2 after structural relaxation.

Geometry as CIF:
```
data_KAg5Sb2
_chemical_formula_sum 'K2 Ag10 Sb4'
_cell_length_a 4.681
_cell_length_b 7.963
_cell_length_c 10.525
_cell_angle_alpha 90.00
_cell_angle_beta 90.00
_cell_angle_gamma 90.00
_space_group_name_H-M_alt 'I m m m'
_space_group_IT_number 71
_space_group_name_Hall '-I 2 2'
loop_
_atom_site_label
_atom_site_fract_x
_atom_site_fract_y
_atom_site_fract_z
K1 0.000 0.000 0.000
Ag1 0.000 0.175 0.355
Ag2 0.000 0.500 0.000
Sb1 0.000 0.500 0.259
```

## Properties
E_form (uncorrected), kcal/mol of atoms: -1.21
Fermi-level density of states, states/eV/cell: 4.398
E_tot, Ry per atom: -0.2207

No. 11
The following is a DFT calculation (GGA-PBE) of KAgSb2 after structural relaxation.

Geometry as CIF:
```
data_KAgSb2
_chemical_formula_sum 'K2 Ag2 Sb4'
_cell_length_a 3.361
_cell_length_b 6.167
_cell_length_c 11.091
_cell_angle_alpha 90.00
_cell_angle_beta 90.00
_cell_angle_gamma 90.00
_space_group_name_H-M_alt 'I m m m'
_space_group_IT_number 71
_space_group_name_Hall '-I 2 2'
loop_
_atom_site_label
_atom_site_fract_x
_atom_site_fract_y
_atom_site_fract_z
K1 0.000 0.000 0.000
Ag1 0.000 0.000 0.500
Sb1 0.000 0.500 0.212
```

## Properties
Polymorph energy (0 for the lowest one), meV/atom: 124.3
E_form (uncorrected), kcal/mol of atoms: -0.40
Fermi-level density of states, states/eV/cell: 3.255
E_tot, Ry per atom: -0.2253

No. 12
The following is a DFT calculation (GGA-PBE) of KAg2Sb after structural relaxation.

Geometry as CIF:
```
data_KAg2Sb
_chemical_formula_sum 'K2 Ag4 Sb2'
_cell_length_a 8.483
_cell_length_b 4.904
_cell_length_c 6.532
_cell_angle_alpha 90.00
_cell_angle_beta 115.52
_cell_angle_gamma 90.00
_space_group_name_H-M_alt 'C 1 2/m 1'
_space_group_IT_number 12
loop_
_space_group_symop_operation_xyz
'x,y,z'
'-x,-y,-z'
'-x,y,-z'
'x,-y,z'
'x+1/2,y+1/2,z'
'-x+1/2,-y+1/2,-z'
'-x+1/2,y+1/2,-z'
'x+1/2,-y+1/2,z'
loop_
_atom_site_label
_atom_site_fract_x
_atom_site_fract_y
_atom_site_fract_z
K1 0.000 0.000 0.000
Ag1 0.189 0.000 0.569
Sb1 0.000 0.500 0.500
```

## Properties
E_form (uncorrected), kcal/mol of atoms: -3.48
Fermi-level density of states, states/eV/cell: 0.803
E_tot, Ry per atom: -0.2118

No. 13
The following is a DFT calculation (GGA-PBE) of KAgSb3 after structural relaxation.

Geometry as CIF:
```
data_KAgSb3
_chemical_formula_sum 'K1 Ag1 Sb3'
_cell_length_a 5.520
_cell_length_b 5.520
_cell_length_c 5.520
_cell_angle_alpha 90.00
_cell_angle_beta 90.00
_cell_angle_gamma 90.00
_space_group_name_H-M_alt 'P m -3 m'
_space_group_IT_number 221
_space_group_name_Hall '-P 4 2 3'
loop_
_atom_site_label
_atom_site_fract_x
_atom_site_fract_y
_atom_site_fract_z
K1 0.000 0.000 0.000
Ag1 0.500 0.500 0.500
Sb1 0.000 0.500 0.500
```

## Properties
Polymorph energy (0 for the lowest one), meV/atom: 408.2
E_form (uncorrected), kcal/mol of atoms: 5.73
Fermi-level density of states, states/eV/cell: 3.316
E_tot, Ry per atom: -0.2216

No. 14
The following is a DFT calculation (GGA-PBE) of KAgSb3 after structural relaxation.

Geometry as CIF:
```
data_KAgSb3
_chemical_formula_sum 'K4 Ag4 Sb12'
_cell_length_a 7.666
_cell_length_b 11.051
_cell_length_c 7.245
_cell_angle_alpha 90.00
_cell_angle_beta 90.00
_cell_angle_gamma 90.00
_space_group_name_H-M_alt 'C m c m'
_space_group_IT_number 63
_space_group_name_Hall '-C 2c 2'
loop_
_atom_site_label
_atom_site_fract_x
_atom_site_fract_y
_atom_site_fract_z
K1 0.000 0.238 0.250
Ag1 0.000 0.368 0.750
Sb1 0.000 0.113 0.750
Sb2 0.223 0.500 0.000
```

## Properties
Polymorph energy (0 for the lowest one), meV/atom: 0.0
E_form (uncorrected), kcal/mol of atoms: -3.68
Fermi-level density of states, states/eV/cell: 3.408
E_tot, Ry per atom: -0.2516